{
  "formula": "Ti4ZnRh3",
  "functional": "PBE-GGA",
  "state": "optimized geometry",
  "lattice_angstrom": [[-1.2875, -1.6535, 2.1111], [2.0237, -2.1357, -0.4385], [8.0935, 5.7339, 9.4268]],
  "species": ["Zn", "Rh", "Rh", "Rh", "Ti", "Ti", "Ti", "Ti"],
  "frac_coords": [[0.5000, 0.5000, 0.0000], [0.5000, 0.5000, 0.5000], [0.5000, 0.5000, 0.7491], [0.5000, 0.5000, 0.2509], [0.0000, 0.0000, 0.6243], [0.0000, 0.0000, 0.1295], [0.0000, 0.0000, 0.8705], [0.0000, 0.0000, 0.3757]],
  "delta_e_f_ev_per_atom": -0.590,
  "dos_ef_per_ev_cell": 8.97
}